The following is a DFT calculation (PBE with a Hubbard U) of a geometry-optimized K3Rb3CoF8 structure.

Cell: 7.583 7.593 7.761 Å, 119.42 90.00 119.96°
Last column: magnetic moment on the atom in μB.
Atoms (fractional coordinates):
K1 0.500 0.000 0.500  0.00
K2 0.500 0.500 0.500  0.00
K3 0.000 0.500 0.500  0.00
Rb1 0.000 0.000 0.000  0.00
Rb2 0.000 0.500 0.000  0.00
Rb3 0.500 0.500 0.000  0.00
Co1 0.000 0.000 0.500  2.79
F1 0.255 0.511 0.266  0.00
F2 0.745 0.489 0.734  0.00
F3 0.805 0.609 0.312  0.03
F4 0.195 0.391 0.688  0.03
F5 0.804 0.007 0.310  0.03
F6 0.196 0.993 0.690  0.03
F7 0.203 0.007 0.310  0.03
F8 0.797 0.993 0.690  0.03

E_tot = -4.3448 eV per atom
Symmetry = C2/m (12)
Crystal system = monoclinic